Entry from the Alexandria database: crystalline Li2CdSb at its relaxed geometry (PBE).

It has space group R-3m (No. 166, hexagonal axes), with a = 3.3429 Å, b = 3.3429 Å, c = 27.3011 Å, α = 90.00°, β = 90.00° and γ = 120.00°. The asymmetric unit holds Li at (0.0000, 0.0000, 0.2441), Cd at (0.0000, 0.0000, 0.0000) and Sb at (0.0000, 0.0000, 0.5000).

For the energy above the most stable polymorph in this dataset, the calculation gives 166 meV per atom.

---

Entry from the Alexandria database: crystalline AcPrGaSi at its relaxed geometry (PBE).

It has space group Amm2 (No. 38), with a = 4.157 Å, b = 4.580 Å, c = 11.730 Å, α = 90.00°, β = 90.00° and γ = 90.00°. The asymmetric unit holds Ac at (0.000, 0.000, 0.000), Pr at (0.500, 0.000, 0.718), Ga at (0.000, 0.000, 0.284) and Si at (0.500, 0.000, 0.418).

For the energy above the most stable polymorph in this dataset, the calculation gives 0 meV per atom.

---

Entry from the Alexandria database: crystalline Pu2MgCl8 at its relaxed geometry (PBE).

It has space group C2/m (No. 12), with a = 14.290 Å, b = 8.233 Å, c = 6.981 Å, α = 90.00°, β = 113.06° and γ = 90.00°. The asymmetric unit holds Pu at (0.128, 0.000, 0.069), Mg at (0.000, 0.000, 0.500), Cl at (0.027, 0.201, 0.248), Cl at (0.182, 0.000, 0.740) and Cl at (0.187, 0.500, 0.688).

---

For each record above, in turn, the calculated DFT total energy values are -2.454; -4.950; -5.813 eV/atom.
For each record above, in turn, the calculated formation energy (no corrections) values are -0.238; -0.615; -1.719 eV/atom.
For each record above, in turn, the calculated volume values are 22.0; 27.9; 34.4 Å³ per atom.